Compound: TlWNF2
Source: Alexandria via LeMat-Bulk
Functional: GGA+U
Structure: relaxed

abc: 4.4012 4.4012 4.0558
angles: 90.00 90.00 90.00
With the nearest neighbours (Å) after each atom.
Space group P4/mmm (No. 123)
Symmetry-distinct sites (fractional):
Tl1 0.0000 0.0000 0.0000 x1  8 F 2.99, 4 N 3.11
W1 0.5000 0.5000 0.5000 x1  2 N 2.03, 4 F 2.20
N1 0.5000 0.5000 0.0000 x1  2 W 2.03
F1 0.0000 0.5000 0.5000 x2  2 W 2.20

offset from the most stable computed form = 0.00 eV/f.u.